Material: MnOs2Cl
Method: DFT, PBE
State: optimized geometry

Electronic total energy, Ry per atom: -0.5591
E_form (uncorrected), eV/atom: 0.76

Lattice parameters (Å, degrees): 2.7827 4.7756 8.9789 90.00 90.00 90.00
Space group Cmmm (No. 65)
Inequivalent atoms, fractional coordinates:
Mn (0.0000, 0.0000, 0.0000) (multiplicity 2)
Os (0.0000, 0.5000, 0.2324) (multiplicity 4)
Cl (0.0000, 0.0000, 0.5000) (multiplicity 2)


Material: LaTh3
Method: DFT, PBE
State: optimized geometry

Electronic total energy, Ry per atom: -0.4951
DFT formation energy, eV per atom: 0.061

Lattice parameters (Å, degrees): 3.5754 5.9861 6.2249 90.00 90.00 90.00
Space group Pmm2 (No. 25)
Inequivalent atoms, fractional coordinates:
La (0.0000, 0.0000, 0.0000) (multiplicity 1)
Th (0.0000, 0.5000, 0.6690) (multiplicity 1)
Th (0.5000, 0.0000, 0.4990) (multiplicity 1)
Th (0.5000, 0.5000, 0.1763) (multiplicity 1)


Material: Sm2NpPaN4
Method: DFT, PBE
State: optimized geometry

Electronic total energy, Ry per atom: -0.7056
E_form (uncorrected), eV/atom: -1.45

Lattice parameters (Å, degrees): 6.1025 3.5250 6.1357 90.00 109.62 90.00
Space group P2/m (No. 10)
Inequivalent atoms, fractional coordinates:
Sm (0.0000, 0.0000, 0.0000) (multiplicity 1)
Sm (0.5000, 0.5000, 0.0000) (multiplicity 1)
Np (0.0000, 0.5000, 0.5000) (multiplicity 1)
Pa (0.5000, 0.0000, 0.5000) (multiplicity 1)
N (0.2423, 0.0000, 0.7240) (multiplicity 2)
N (0.2626, 0.5000, 0.2748) (multiplicity 2)


Which value of electronic total energy does entry 3 give?
-0.7056 Ry per atom


The lowest electronic total energy belongs to which entry?
Sm2NpPaN4


electronic total energy of number 2 (LaTh3)?
-0.4951 Ry per atom